Record 1
Material: SiTcS2O
Method: DFT, PBE-GGA
State: relaxed

Results
The uncorrected formation energy is 0.6803 eV per atom. For the size of the total moment, the calculation gives 1.5 Bohr magnetons per cell.

```
data_SiTcS2O
_space_group_name_H-M_alt 'P 4/m m m'
_space_group_IT_number 123
_space_group_name_Hall '-P 4 2'
_cell_length_a 4.528
_cell_length_b 4.528
_cell_length_c 3.436
_cell_angle_alpha 90.00
_cell_angle_beta 90.00
_cell_angle_gamma 90.00
loop_
_atom_site_label
_atom_site_fract_x
_atom_site_fract_y
_atom_site_fract_z
Si1 0.000 0.000 0.000
Tc1 0.500 0.500 0.000
S1 0.000 0.500 0.500
O1 0.000 0.000 0.500
```

---

Record 2
Material: Tm4Si2S3O7
Method: DFT, PBE-GGA
State: relaxed

Results
The uncorrected formation energy is -2.8579 eV per atom. For the size of the total moment, the calculation gives 0.0 Bohr magnetons per cell.

```
data_Tm4Si2S3O7
_space_group_name_H-M_alt 'I 41/a m d'
_space_group_IT_number 141
_cell_length_a 11.623
_cell_length_b 11.623
_cell_length_c 13.486
_cell_angle_alpha 90.00
_cell_angle_beta 90.00
_cell_angle_gamma 90.00
loop_
_space_group_symop_operation_xyz
'x,y,z'
'-x,-y,-z'
'-y+1/4,x+3/4,z+1/4'
'y+1/4,-x+3/4,-z+1/4'
'-x+1/2,-y,z+1/2'
'x+1/2,y,-z+1/2'
'y+1/4,-x+1/4,z+3/4'
'-y+1/4,x+1/4,-z+3/4'
'x,-y,-z'
'-x,y,z'
'-y+1/4,-x+1/4,-z+3/4'
'y+1/4,x+1/4,z+3/4'
'-x+1/2,y,-z+1/2'
'x+1/2,-y,z+1/2'
'y+1/4,x+3/4,-z+1/4'
'-y+1/4,-x+3/4,z+1/4'
'x+1/2,y+1/2,z+1/2'
'-x+1/2,-y+1/2,-z+1/2'
'-y+3/4,x+1/4,z+3/4'
'y+3/4,-x+1/4,-z+3/4'
'-x,-y+1/2,z'
'x,y+1/2,-z'
'y+3/4,-x+3/4,z+1/4'
'-y+3/4,x+3/4,-z+1/4'
'x+1/2,-y+1/2,-z+1/2'
'-x+1/2,y+1/2,z+1/2'
'-y+3/4,-x+3/4,-z+1/4'
'y+3/4,x+3/4,z+1/4'
'-x,y+1/2,-z'
'x,-y+1/2,z'
'y+3/4,x+1/4,-z+3/4'
'-y+3/4,-x+1/4,z+3/4'
loop_
_atom_site_label
_atom_site_fract_x
_atom_site_fract_y
_atom_site_fract_z
Tm1 0.000 0.015 0.341
Tm2 0.173 0.077 0.875
Si1 0.000 0.125 0.095
S1 0.000 0.250 0.375
S2 0.000 0.250 0.875
S3 0.145 0.000 0.500
O1 0.000 0.016 0.174
O2 0.000 0.250 0.150
O3 0.125 0.109 0.041
```

---

Record 3
Material: ZnSiSO2
Method: DFT, PBE-GGA
State: relaxed

Results
The uncorrected formation energy is 0.3193 eV per atom. For the size of the total moment, the calculation gives 0.0 Bohr magnetons per cell.

```
data_ZnSiSO2
_space_group_name_H-M_alt 'P 4/m m m'
_space_group_IT_number 123
_space_group_name_Hall '-P 4 2'
_cell_length_a 3.690
_cell_length_b 3.690
_cell_length_c 4.886
_cell_angle_alpha 90.00
_cell_angle_beta 90.00
_cell_angle_gamma 90.00
loop_
_atom_site_label
_atom_site_fract_x
_atom_site_fract_y
_atom_site_fract_z
Zn1 0.000 0.000 0.000
Si1 0.500 0.500 0.000
S1 0.000 0.000 0.500
O1 0.000 0.500 0.500
```

---

Q: Which DFT total energy values were calculated for the entries above? A: -25.6, -972.4, -19.1, in eV for the cell shown.